Density functional theory data (PBE) for a relaxed CoTc2AsS crystal.

* Fermi-level density of states: 8.3 states/eV per cell
* raw formation energy: 550 kJ/mol of formula units

Cell: 4.3289 4.3289 4.7145 Å, 90.00 90.00 90.00°
Space group P4/mmm (No. 123)
One atom of each set of equivalent atoms:
Co 0.0000 0.0000 0.0000 x1
Tc 0.0000 0.5000 0.5000 x2
As 0.5000 0.5000 0.0000 x1
S 0.5000 0.5000 0.5000 x1

---

Density functional theory data (PBE) for a relaxed LaZn2Re crystal.

* Fermi-level density of states: 6.5 states/eV per cell
* VASP energy: -37.91 eV per cell

Cell: 9.3701 2.8805 5.8772 Å, 90.00 98.64 90.00°
Space group C2/m (No. 12)
One atom of each set of equivalent atoms:
La 0.0000 0.0000 0.0000 x2
Zn 0.2367 0.0000 0.6773 x4
Re 0.0000 0.5000 0.5000 x2

---

Density functional theory data (PBE) for a relaxed LiNi2As crystal.

* Fermi-level density of states: 2.9 states/eV per cell
* VASP energy: -19.28 eV per cell

Cell: 3.7236 3.7236 3.3947 Å, 90.00 90.00 90.00°
Space group P4/mmm (No. 123)
One atom of each set of equivalent atoms:
Li 0.0000 0.0000 0.0000 x1
Ni 0.0000 0.5000 0.5000 x2
As 0.5000 0.5000 0.0000 x1

---

Which of these has the lowest Fermi-level density of states?
LiNi2As

---

Fermi-level density of states of number 3 (LiNi2As)?
2.9 states/eV per cell

---

Which of these has the highest Fermi-level density of states?
CoTc2AsS